Compound: NaBeTe2O
Source: Alexandria via LeMat-Bulk
Functional: PBE
Structure: relaxed

Values from the calculation:
For the calculated volume, the calculation gives 117.6 Å³/f.u. The calculation puts the density of states at the Fermi level at 1.29 states/eV per atom. Its raw formation energy is 0.87 eV/atom.

Geometry as CIF:
```
data_NaBeTe2O
_symmetry_space_group_name_H-M 'P 4/m m m'
_symmetry_Int_Tables_number 123
_symmetry_space_group_name_Hall '-P 4 2'
_cell_length_a 5.487
_cell_length_b 5.487
_cell_length_c 3.904
_cell_angle_alpha 90.00
_cell_angle_beta 90.00
_cell_angle_gamma 90.00
loop_
_atom_site_label
_atom_site_fract_x
_atom_site_fract_y
_atom_site_fract_z
Na1 0.000 0.000 0.000
Be1 0.500 0.500 0.500
Te1 0.000 0.500 0.000
O1 0.000 0.000 0.500
```